Material: HfTePdI2
Method: DFT, GGA-PBE
State: relaxed

abc: 5.682 5.682 5.528
angles: 90.00 90.00 90.00
Last column: magnetic moment on the atom in μB.
Element x y z (fractional)
I (0.000, 0.500, 0.000)  -0.01
I (0.500, 0.000, 0.000)  -0.01
Te (0.000, 0.000, 0.500)  -0.02
Hf (0.000, 0.000, 0.000)  0.02
Pd (0.500, 0.500, 0.500)  -0.27

Computed properties:
Polymorph energy (0 for the lowest one) in eV per atom: 0.000
SG: No. 123
E_form (uncorrected) in eV/atom: 0.1515